# 1
A plane-wave DFT calculation with GGA-PBE was carried out for a relaxed HfRhW crystal.

Summary:
As for the formation energy: -0.22 eV/atom. The density of states at the Fermi level is 6.24 states/eV/cell. As for the total energy: -10.310 eV per atom. The space group is I4/mmm. The density is 14.49 g cm⁻³.

```
HfRhW
1.0
-1.870 1.870 7.623
1.870 -1.870 7.623
1.870 1.870 -7.623
Hf Rh W
2 2 2
Cartesian
0.000 0.000 2.705 Hf
0.000 0.000 12.540 Hf
0.000 0.000 5.475 Rh
0.000 0.000 9.770 Rh
1.870 0.000 0.000 W
0.000 1.870 0.000 W
```

***

# 2
A plane-wave DFT calculation with GGA-PBE was carried out for a relaxed Hf3RhW crystal.

Summary:
As for the formation energy: 0.82 eV/atom. The density of states at the Fermi level is 6.44 states/eV/cell. As for the total energy: -9.215 eV per atom. The space group is Pm-3m. The density is 11.79 g cm⁻³.

```
Hf3RhW
1.0
4.874 0.000 0.000
0.000 4.874 0.000
0.000 0.000 4.874
Hf Rh W
3 1 1
Cartesian
0.000 0.000 2.437 Hf
0.000 2.437 0.000 Hf
2.437 0.000 0.000 Hf
0.000 0.000 0.000 Rh
2.437 2.437 2.437 W
```

***

# 3
A plane-wave DFT calculation with GGA-PBE was carried out for a relaxed Y2HfRh2 crystal.

Summary:
As for the formation energy: -0.68 eV/atom. The density of states at the Fermi level is 8.97 states/eV/cell. As for the total energy: -8.198 eV per atom. The space group is P4/mbm. The density is 8.54 g cm⁻³.

```
Y2HfRh2
1.0
7.058 0.000 0.000
0.000 7.058 0.000
0.000 0.000 4.390
Y Hf Rh
4 2 4
Cartesian
1.205 2.324 0.000 Y
2.324 5.852 0.000 Y
4.734 1.205 0.000 Y
5.852 4.734 0.000 Y
0.000 0.000 2.195 Hf
3.529 3.529 2.195 Hf
0.992 4.521 2.195 Rh
2.537 0.992 2.195 Rh
4.521 6.066 2.195 Rh
6.066 2.537 2.195 Rh
```

***

# 4
A plane-wave DFT calculation with GGA-PBE was carried out for a relaxed YHf3Rh crystal.

Summary:
As for the formation energy: 0.11 eV/atom. The density of states at the Fermi level is 7.02 states/eV/cell. As for the total energy: -8.626 eV per atom. The space group is Pm-3m. The density is 9.43 g cm⁻³.

```
YHf3Rh
1.0
5.041 0.000 0.000
0.000 5.041 0.000
0.000 0.000 5.041
Y Hf Rh
1 3 1
Cartesian
0.000 0.000 0.000 Y
0.000 2.521 2.521 Hf
2.521 0.000 2.521 Hf
2.521 2.521 0.000 Hf
2.521 2.521 2.521 Rh
```

***

# 5
A plane-wave DFT calculation with GGA-PBE was carried out for a relaxed YHfRh crystal.

Summary:
As for the formation energy: -0.49 eV/atom. The density of states at the Fermi level is 3.40 states/eV/cell. As for the total energy: -8.408 eV per atom. The space group is I4mm. The density is 9.37 g cm⁻³.

```
YHfRh
1.0
-1.694 1.694 5.717
1.694 -1.694 5.717
1.694 1.694 -5.717
Y Hf Rh
1 1 1
Cartesian
0.000 0.000 0.000 Y
0.000 0.000 3.291 Hf
0.000 0.000 7.700 Rh
```

***

# 6
A plane-wave DFT calculation with GGA-PBE was carried out for a relaxed YHfRh crystal.

Summary:
As for the formation energy: -0.58 eV/atom. The density of states at the Fermi level is 5.92 states/eV/cell. As for the total energy: -8.498 eV per atom. The space group is I4/mmm. The density is 8.97 g cm⁻³.

```
YHfRh
1.0
-2.220 2.220 6.954
2.220 -2.220 6.954
2.220 2.220 -6.954
Y Hf Rh
2 2 2
Cartesian
0.000 0.000 2.539 Y
0.000 0.000 11.369 Y
2.220 0.000 0.000 Hf
0.000 2.220 0.000 Hf
0.000 0.000 5.360 Rh
0.000 0.000 8.548 Rh
```

***

# 7
A plane-wave DFT calculation with GGA-PBE was carried out for a relaxed YHf2Rh2 crystal.

Summary:
As for the formation energy: -0.57 eV/atom. The density of states at the Fermi level is 5.34 states/eV/cell. As for the total energy: -8.783 eV per atom. The space group is P4/mbm. The density is 11.05 g cm⁻³.

```
YHf2Rh2
1.0
8.036 0.000 0.000
0.000 8.036 0.000
0.000 0.000 3.034
Y Hf Rh
2 4 4
Cartesian
0.000 0.000 0.000 Y
4.018 4.018 0.000 Y
1.144 2.874 0.000 Hf
2.874 6.892 0.000 Hf
5.162 1.144 0.000 Hf
6.892 5.162 0.000 Hf
1.218 5.236 1.517 Rh
2.800 1.218 1.517 Rh
5.236 6.818 1.517 Rh
6.818 2.800 1.517 Rh
```

***

# 8
A plane-wave DFT calculation with GGA-PBE was carried out for a relaxed YHfRh crystal.

Summary:
As for the formation energy: -0.59 eV/atom. The density of states at the Fermi level is 4.35 states/eV/cell. As for the total energy: -8.514 eV per atom. The space group is Imma. The density is 9.57 g cm⁻³.

```
YHfRh
1.0
-2.945 3.013 3.621
2.945 -3.013 3.621
2.945 3.013 -3.621
Y Hf Rh
2 2 2
Cartesian
0.000 1.507 0.756 Y
2.945 1.507 2.865 Y
2.945 0.000 0.000 Hf
0.000 0.000 3.621 Hf
1.473 1.507 -1.810 Rh
1.473 -1.507 1.810 Rh
```

***

# 9
A plane-wave DFT calculation with GGA-PBE was carried out for a relaxed YHfRh3 crystal.

Summary:
As for the formation energy: -0.06 eV/atom. The density of states at the Fermi level is 0.90 states/eV/cell. As for the total energy: -7.758 eV per atom. The space group is Pm-3m. The density is 8.77 g cm⁻³.

```
YHfRh3
1.0
4.779 0.000 0.000
0.000 4.779 0.000
0.000 0.000 4.779
Y Hf Rh
1 1 3
Cartesian
0.000 0.000 0.000 Y
2.389 2.389 2.389 Hf
0.000 2.389 2.389 Rh
2.389 0.000 2.389 Rh
2.389 2.389 0.000 Rh
```

***

# 10
A plane-wave DFT calculation with GGA-PBE was carried out for a relaxed YHf2Rh2 crystal.

Summary:
As for the formation energy: -0.68 eV/atom. The density of states at the Fermi level is 6.37 states/eV/cell. As for the total energy: -8.898 eV per atom. The space group is I4/mmm. The density is 9.97 g cm⁻³.

```
YHf2Rh2
1.0
-2.227 2.227 5.470
2.227 -2.227 5.470
2.227 2.227 -5.470
Y Hf Rh
1 2 2
Cartesian
0.000 0.000 0.000 Y
2.227 0.000 2.735 Hf
0.000 2.227 2.735 Hf
0.000 0.000 4.175 Rh
0.000 0.000 6.766 Rh
```

***

# 11
A plane-wave DFT calculation with GGA-PBE was carried out for a relaxed YHfRh crystal.

Summary:
As for the formation energy: -0.62 eV/atom. The density of states at the Fermi level is 5.46 states/eV/cell. As for the total energy: -8.540 eV per atom. The space group is C2/m. The density is 9.14 g cm⁻³.

```
YHfRh
1.0
5.693 -1.896 0.000
5.693 1.896 0.000
-4.367 0.000 6.236
Y Hf Rh
2 2 2
Cartesian
-0.604 0.000 2.213 Y
7.622 0.000 4.023 Y
-0.276 0.000 5.787 Hf
7.294 0.000 0.449 Hf
2.689 0.000 1.881 Rh
4.330 0.000 4.355 Rh
```

***

# 12
A plane-wave DFT calculation with GGA-PBE was carried out for a relaxed YHf4Rh2 crystal.

Summary:
As for the formation energy: 0.88 eV/atom. The density of states at the Fermi level is 8.02 states/eV/cell. As for the total energy: -7.828 eV per atom. The space group is I4/mmm. The density is 10.10 g cm⁻³.

```
YHf4Rh2
1.0
-2.501 2.501 6.624
2.501 -2.501 6.624
2.501 2.501 -6.624
Y Hf Rh
1 4 2
Cartesian
0.000 0.000 0.000 Y
2.501 0.000 0.000 Hf
0.000 0.000 2.742 Hf
0.000 2.501 0.000 Hf
0.000 0.000 10.505 Hf
0.000 0.000 5.150 Rh
0.000 0.000 8.097 Rh
```

***

# 13
A plane-wave DFT calculation with GGA-PBE was carried out for a relaxed YHfRh2 crystal.

Summary:
As for the formation energy: 0.19 eV/atom. The density of states at the Fermi level is 2.49 states/eV/cell. As for the total energy: -7.595 eV per atom. The space group is Immm. The density is 9.79 g cm⁻³.

```
YHfRh2
1.0
-1.501 2.600 5.141
1.501 -2.600 5.141
1.501 2.600 -5.141
Y Hf Rh
1 1 2
Cartesian
0.000 0.000 0.000 Y
0.000 0.000 5.141 Hf
0.000 0.000 2.709 Rh
0.000 0.000 7.573 Rh
```

***

# 14
A plane-wave DFT calculation with GGA-PBE was carried out for a relaxed YHfRh4 crystal.

Summary:
As for the formation energy: -0.63 eV/atom. The density of states at the Fermi level is 3.16 states/eV/cell. As for the total energy: -8.272 eV per atom. The space group is F-43m. The density is 10.91 g cm⁻³.

```
YHfRh4
1.0
0.000 3.725 3.725
3.725 0.000 3.725
3.725 3.725 0.000
Y Hf Rh
1 1 4
Cartesian
0.000 0.000 0.000 Y
1.862 1.862 1.862 Hf
4.655 2.795 2.795 Rh
2.795 4.655 2.795 Rh
2.795 2.795 4.655 Rh
4.655 4.655 4.655 Rh
```

***

# 15
A plane-wave DFT calculation with GGA-PBE was carried out for a relaxed YHfRh crystal.

Summary:
As for the formation energy: -0.58 eV/atom. The density of states at the Fermi level is 5.57 states/eV/cell. As for the total energy: -8.503 eV per atom. The space group is Pmmn. The density is 9.21 g cm⁻³.

```
YHfRh
1.0
3.590 0.000 0.000
0.000 4.832 0.000
0.000 0.000 7.698
Y Hf Rh
2 2 2
Cartesian
0.897 1.208 1.127 Y
2.692 3.624 6.571 Y
0.897 3.624 3.628 Hf
2.692 1.208 4.070 Hf
0.897 1.208 5.941 Rh
2.692 3.624 1.757 Rh
```

***

# 16
A plane-wave DFT calculation with GGA-PBE was carried out for a relaxed YHf3Rh crystal.

Summary:
As for the formation energy: 1.77 eV/atom. The density of states at the Fermi level is 4.55 states/eV/cell. As for the total energy: -6.965 eV per atom. The space group is Pm-3m. The density is 9.54 g cm⁻³.

```
YHf3Rh
1.0
5.021 0.000 0.000
0.000 5.021 0.000
0.000 0.000 5.021
Y Hf Rh
1 3 1
Cartesian
0.000 0.000 0.000 Y
0.000 0.000 2.511 Hf
0.000 2.511 0.000 Hf
2.511 0.000 0.000 Hf
2.511 2.511 2.511 Rh
```

***

# 17
A plane-wave DFT calculation with GGA-PBE was carried out for a relaxed YHfRh2 crystal.

Summary:
As for the formation energy: -0.45 eV/atom. The density of states at the Fermi level is 3.96 states/eV/cell. As for the total energy: -8.231 eV per atom. The space group is I-42d. The density is 9.62 g cm⁻³.

```
YHfRh2
1.0
-3.616 3.616 3.124
3.616 -3.616 3.124
3.616 3.616 -3.124
Y Hf Rh
2 2 4
Cartesian
0.000 0.000 0.000 Y
0.000 3.616 1.562 Y
3.616 0.000 1.562 Hf
0.000 0.000 3.124 Hf
1.808 1.982 -0.781 Rh
5.249 1.808 0.781 Rh
1.808 1.633 2.343 Rh
-1.633 1.808 3.905 Rh
```

***

# 18
A plane-wave DFT calculation with GGA-PBE was carried out for a relaxed Y2HfRh4 crystal.

Summary:
As for the formation energy: -0.55 eV/atom. The density of states at the Fermi level is 3.00 states/eV/cell. As for the total energy: -8.020 eV per atom. The space group is I4/mmm. The density is 9.20 g cm⁻³.

```
Y2HfRh4
1.0
-2.339 2.339 6.337
2.339 -2.339 6.337
2.339 2.339 -6.337
Y Hf Rh
2 1 4
Cartesian
0.000 0.000 2.940 Y
0.000 0.000 9.733 Y
0.000 0.000 6.337 Hf
2.339 0.000 1.434 Rh
2.339 0.000 4.902 Rh
0.000 2.339 1.434 Rh
0.000 2.339 4.902 Rh
```

***

# 19
A plane-wave DFT calculation with GGA-PBE was carried out for a relaxed YHf2Rh2 crystal.

Summary:
As for the formation energy: -0.31 eV/atom. The density of states at the Fermi level is 6.57 states/eV/cell. As for the total energy: -8.524 eV per atom. The space group is I4/mmm. The density is 9.69 g cm⁻³.

```
YHf2Rh2
1.0
-2.135 2.135 6.127
2.135 -2.135 6.127
2.135 2.135 -6.127
Y Hf Rh
1 2 2
Cartesian
0.000 0.000 0.000 Y
0.000 0.000 4.558 Hf
0.000 0.000 7.696 Hf
2.135 0.000 3.063 Rh
0.000 2.135 3.063 Rh
```

***

# 20
A plane-wave DFT calculation with GGA-PBE was carried out for a relaxed YHf2Rh2 crystal.

Summary:
As for the formation energy: -0.62 eV/atom. The density of states at the Fermi level is 12.63 states/eV/cell. As for the total energy: -8.833 eV per atom. The space group is P4/mbm. The density is 10.80 g cm⁻³.

```
YHf2Rh2
1.0
7.855 0.000 0.000
0.000 7.855 0.000
0.000 0.000 3.247
Y Hf Rh
2 4 4
Cartesian
0.000 0.000 0.000 Y
3.928 3.928 0.000 Y
1.200 2.727 1.623 Hf
2.727 6.655 1.623 Hf
5.128 1.200 1.623 Hf
6.655 5.128 1.623 Hf
1.063 4.991 0.000 Rh
2.865 1.063 0.000 Rh
4.991 6.792 0.000 Rh
6.792 2.865 0.000 Rh
```

***

# 21
A plane-wave DFT calculation with GGA-PBE was carried out for a relaxed YHfRh2 crystal.

Summary:
As for the formation energy: -0.88 eV/atom. The density of states at the Fermi level is 2.39 states/eV/cell. As for the total energy: -8.665 eV per atom. The space group is P4/mmm. The density is 10.38 g cm⁻³.

```
YHfRh2
1.0
3.319 0.000 0.000
0.000 3.319 0.000
0.000 0.000 6.871
Y Hf Rh
1 1 2
Cartesian
0.000 0.000 0.000 Y
0.000 0.000 3.435 Hf
1.660 1.660 1.908 Rh
1.660 1.660 4.963 Rh
```

***

# 22
A plane-wave DFT calculation with GGA-PBE was carried out for a relaxed YHfZnRh crystal.

Summary:
As for the formation energy: -0.46 eV/atom. The density of states at the Fermi level is 4.23 states/eV/cell. As for the total energy: -6.720 eV per atom. The space group is F-43m. The density is 9.24 g cm⁻³.

```
YHfZnRh
1.0
0.000 3.396 3.396
3.396 0.000 3.396
3.396 3.396 0.000
Y Hf Zn Rh
1 1 1 1
Cartesian
0.000 0.000 0.000 Y
3.396 3.396 3.396 Hf
5.094 5.094 5.094 Zn
1.698 1.698 1.698 Rh
```

***

# 23
A plane-wave DFT calculation with GGA-PBE was carried out for a relaxed YbHfRh2 crystal.

Summary:
As for the formation energy: -0.73 eV/atom. The density of states at the Fermi level is 12.77 states/eV/cell. As for the total energy: -7.271 eV per atom. The space group is Fm-3m. The density is 12.68 g cm⁻³.

```
YbHfRh2
1.0
0.000 3.317 3.317
3.317 0.000 3.317
3.317 3.317 0.000
Yb Hf Rh
1 1 2
Cartesian
0.000 0.000 0.000 Yb
3.317 3.317 3.317 Hf
1.658 1.658 1.658 Rh
4.975 4.975 4.975 Rh
```

***

# 24
A plane-wave DFT calculation with GGA-PBE was carried out for a relaxed Hf4ZnRh3 crystal.

Summary:
As for the formation energy: -0.68 eV/atom. The density of states at the Fermi level is 5.90 states/eV/cell. As for the total energy: -8.576 eV per atom. The space group is Fmmm. The density is 12.69 g cm⁻³.

```
Hf4ZnRh3
1.0
0.000 3.308 6.512
3.305 0.000 6.512
3.305 3.308 0.000
Hf Zn Rh
4 1 3
Cartesian
1.653 1.654 1.642 Hf
1.653 1.654 4.870 Hf
4.958 4.963 8.155 Hf
4.958 4.963 11.382 Hf
0.000 0.000 0.000 Zn
3.305 3.308 3.031 Rh
3.305 3.308 6.512 Rh
3.305 3.308 9.993 Rh
```

***

# 25
A plane-wave DFT calculation with GGA-PBE was carried out for a relaxed HfZn2Rh2 crystal.

Summary:
As for the formation energy: -0.47 eV/atom. The density of states at the Fermi level is 1.42 states/eV/cell. As for the total energy: -5.913 eV per atom. The space group is I4/mmm. The density is 10.56 g cm⁻³.

```
HfZn2Rh2
1.0
-1.717 1.717 6.870
1.717 -1.717 6.870
1.717 1.717 -6.870
Hf Zn Rh
1 2 2
Cartesian
0.000 0.000 0.000 Hf
1.717 0.000 3.435 Zn
0.000 1.717 3.435 Zn
0.000 0.000 5.478 Rh
0.000 0.000 8.262 Rh
```

***

# 26
A plane-wave DFT calculation with GGA-PBE was carried out for a relaxed HfZn2Rh2 crystal.

Summary:
As for the formation energy: -0.49 eV/atom. The density of states at the Fermi level is 7.13 states/eV/cell. As for the total energy: -5.932 eV per atom. The space group is P4/mbm. The density is 11.13 g cm⁻³.

```
HfZn2Rh2
1.0
7.189 0.000 0.000
0.000 7.189 0.000
0.000 0.000 2.973
Hf Zn Rh
2 4 4
Cartesian
0.000 0.000 0.000 Hf
3.595 3.595 0.000 Hf
0.854 2.741 0.000 Zn
2.741 6.336 0.000 Zn
4.448 0.854 0.000 Zn
6.336 4.448 0.000 Zn
1.297 4.892 1.487 Rh
2.298 1.297 1.487 Rh
4.892 5.892 1.487 Rh
5.892 2.298 1.487 Rh
```